VASP calculation (PBE) on a relaxed Al2SiS crystal.

a b c (Å): 6.346 6.346 6.346
angles (deg): 90.00 90.00 90.00
Space group Fm-3m (No. 225)
Unique sites:
1 Al 0.250 0.250 0.250
2 Si 0.000 0.000 0.000
3 S 0.000 0.000 0.500

Output
- ρ (Mg/m³) = 3.0
- formation energy without anion corrections (eV per atom) = 0.2024
- energy above the lowest structure with this stoichiometry (meV per atom) = 561

VASP calculation (PBE) on a relaxed Li5Pm3F12 crystal.

a b c (Å): 12.550 12.550 12.550
angles (deg): 90.00 90.00 90.00
Space group Ia-3d (No. 230)
Unique sites:
1 Li 0.000 0.000 0.000
2 Li 0.000 0.250 0.375
3 Pm 0.000 0.250 0.125
4 F 0.034 0.057 0.652

Output
- ρ (Mg/m³) = 4.7
- formation energy without anion corrections (eV per atom) = -3.2919

VASP calculation (PBE) on a relaxed TbHgAs crystal.

a b c (Å): 4.8676 4.8676 26.7611
angles (deg): 90.00 90.00 120.00
Space group R-3m (No. 166, hexagonal axes)
Unique sites:
1 Tb 0.0000 0.0000 0.1128
2 Hg 0.0000 0.0000 0.3627
3 As 0.0000 0.0000 0.2187

Output
- ΔH_f (0 K) (eV/atom) = -0.65
- ρ (Mg/m³) = 7.9

VASP calculation (PBE) on a relaxed TaNb4H10 crystal.

a b c (Å): 7.188 7.188 4.564
angles (deg): 90.00 90.00 90.00
Space group I4/m (No. 87)
Unique sites:
1 Ta 0.000 0.000 0.000
2 Nb 0.100 0.700 0.500
3 H 0.000 0.500 0.250
4 H 0.099 0.198 0.248

Output
- ρ (Mg/m³) = 7.9
- VASP energy (eV per atom) = -5.946